1.
DFT (GGA-PBE) results for a relaxed LuHfTh2 crystal. Values from VASP.

Quantum ESPRESSO input file:
```
&SYSTEM
  ibrav = 0, nat = 4, ntyp = 3
/
ATOMIC_SPECIES
Lu 174.97 Lu.upf
Hf 178.49 Hf.upf
Th 232.04 Th.upf
CELL_PARAMETERS angstrom
4.918 0.000 0.000
0.000 4.918 0.000
0.000 0.000 4.775
ATOMIC_POSITIONS crystal
Lu 0.000 0.000 0.000
Hf 0.500 0.500 0.000
Th 0.000 0.500 0.500
Th 0.500 0.000 0.500
```

E above lowest polymorph (eV per atom): 0.011
DFT total energy (eV/atom): -7.22
Fermi-level density of states (states/eV/cell): 5.3
E_form (meV/atom): 113.3

2.
DFT (GGA-PBE) results for a relaxed CdCoOs2 crystal. Values from VASP.

Quantum ESPRESSO input file:
```
&SYSTEM
  ibrav = 0, nat = 4, ntyp = 3
/
ATOMIC_SPECIES
Cd 112.41 Cd.upf
Co 58.93 Co.upf
Os 190.23 Os.upf
CELL_PARAMETERS angstrom
4.480 -1.380 0.000
4.480 1.380 0.000
-0.820 0.000 4.855
ATOMIC_POSITIONS crystal
Cd 0.000 0.000 0.000
Co 0.243 0.243 0.760
Os 0.508 0.508 0.503
Os 0.763 0.763 0.328
```

DFT total energy (eV/atom): -7.12
Fermi-level density of states (states/eV/cell): 4.3
E_form (meV/atom): 496.3

3.
DFT (GGA-PBE) results for a relaxed La5Ho6Sc2 crystal. Values from VASP.

Quantum ESPRESSO input file:
```
&SYSTEM
  ibrav = 0, nat = 26, ntyp = 3
/
ATOMIC_SPECIES
La 138.91 La.upf
Ho 164.93 Ho.upf
Sc 44.96 Sc.upf
CELL_PARAMETERS angstrom
11.405 0.000 0.000
0.000 20.605 0.000
0.000 0.000 3.622
ATOMIC_POSITIONS crystal
La 0.000 0.000 0.000
La 0.062 0.426 0.000
La 0.151 0.725 0.000
La 0.349 0.225 0.000
La 0.438 0.926 0.000
La 0.500 0.500 0.000
La 0.562 0.074 0.000
La 0.651 0.775 0.000
La 0.849 0.275 0.000
La 0.938 0.574 0.000
Ho 0.078 0.156 0.000
Ho 0.168 0.884 0.500
Ho 0.227 0.557 0.500
Ho 0.273 0.057 0.500
Ho 0.332 0.384 0.500
Ho 0.422 0.656 0.000
Ho 0.578 0.344 0.000
Ho 0.668 0.616 0.500
Ho 0.727 0.943 0.500
Ho 0.773 0.443 0.500
Ho 0.832 0.116 0.500
Ho 0.922 0.844 0.000
Sc 0.109 0.286 0.500
Sc 0.391 0.786 0.500
Sc 0.609 0.214 0.500
Sc 0.891 0.714 0.500
```

DFT total energy (eV/atom): -4.92
Fermi-level density of states (states/eV/cell): 42.5
E_form (meV/atom): 64.7

4.
DFT (GGA-PBE) results for a relaxed Er8Tm6Sc crystal. Values from VASP.

Quantum ESPRESSO input file:
```
&SYSTEM
  ibrav = 0, nat = 15, ntyp = 3
/
ATOMIC_SPECIES
Er 167.26 Er.upf
Tm 168.93 Tm.upf
Sc 44.96 Sc.upf
CELL_PARAMETERS angstrom
4.446 2.567 6.733
-4.446 2.567 6.733
0.000 -5.133 6.733
ATOMIC_POSITIONS crystal
Er 0.076 0.076 0.076
Er 0.224 0.242 0.609
Er 0.242 0.609 0.224
Er 0.391 0.776 0.758
Er 0.609 0.224 0.242
Er 0.758 0.391 0.776
Er 0.776 0.758 0.391
Er 0.924 0.924 0.924
Tm 0.046 0.709 0.623
Tm 0.291 0.377 0.954
Tm 0.377 0.954 0.291
Tm 0.623 0.046 0.709
Tm 0.709 0.623 0.046
Tm 0.954 0.291 0.377
Sc 0.500 0.500 0.500
```

E above lowest polymorph (eV per atom): 0.000
DFT total energy (eV/atom): -4.52
Fermi-level density of states (states/eV/cell): 22.5
E_form (meV/atom): 124.8

5.
DFT (GGA-PBE) results for a relaxed Sc3CdIn crystal. Values from VASP.

Quantum ESPRESSO input file:
```
&SYSTEM
  ibrav = 0, nat = 5, ntyp = 3
/
ATOMIC_SPECIES
Sc 44.96 Sc.upf
Cd 112.41 Cd.upf
In 114.82 In.upf
CELL_PARAMETERS angstrom
5.254 0.000 0.000
0.000 5.254 0.000
0.000 0.000 5.254
ATOMIC_POSITIONS crystal
Sc 0.000 0.000 0.500
Sc 0.000 0.500 0.000
Sc 0.500 0.000 0.000
Cd 0.000 0.000 0.000
In 0.500 0.500 0.500
```

E above lowest polymorph (eV per atom): 0.668
DFT total energy (eV/atom): -4.16
Fermi-level density of states (states/eV/cell): 8.2
E_form (meV/atom): 373.8

6.
DFT (GGA-PBE) results for a relaxed PrTe2O7 crystal. Values from VASP.

Quantum ESPRESSO input file:
```
&SYSTEM
  ibrav = 0, nat = 10, ntyp = 3
/
ATOMIC_SPECIES
Pr 140.91 Pr.upf
Te 127.60 Te.upf
O 16.00 O.upf
CELL_PARAMETERS angstrom
3.293 -5.045 0.000
3.293 5.045 0.000
0.000 0.000 3.906
ATOMIC_POSITIONS crystal
Pr 0.000 0.000 0.000
Te 0.303 0.697 0.500
Te 0.697 0.303 0.500
O 0.047 0.317 0.500
O 0.276 0.724 0.000
O 0.317 0.047 0.500
O 0.500 0.500 0.500
O 0.683 0.953 0.500
O 0.724 0.276 0.000
O 0.953 0.683 0.500
```

DFT total energy (eV/atom): -5.97
Fermi-level density of states (states/eV/cell): 1.2
Formation energy from raw total energies (meV per atom): -1390

7.
DFT (GGA-PBE) results for a relaxed SbTe2MoP crystal. Values from VASP.

Quantum ESPRESSO input file:
```
&SYSTEM
  ibrav = 0, nat = 5, ntyp = 4
/
ATOMIC_SPECIES
Sb 121.76 Sb.upf
Te 127.60 Te.upf
Mo 95.94 Mo.upf
P 30.97 P.upf
CELL_PARAMETERS angstrom
5.166 0.000 0.000
0.000 5.166 0.000
0.000 0.000 5.287
ATOMIC_POSITIONS crystal
Sb 0.000 0.000 0.000
Te 0.000 0.500 0.500
Te 0.500 0.000 0.500
Mo 0.000 0.000 0.500
P 0.500 0.500 0.000
```

E above lowest polymorph (eV per atom): 0.000
DFT total energy (eV/atom): -4.50
Fermi-level density of states (states/eV/cell): 4.6
Formation energy from raw total energies (meV per atom): 834

8.
DFT (GGA-PBE) results for a relaxed Hf2HPdAu crystal. Values from VASP.

Quantum ESPRESSO input file:
```
&SYSTEM
  ibrav = 0, nat = 5, ntyp = 4
/
ATOMIC_SPECIES
Hf 178.49 Hf.upf
H 1.01 H.upf
Pd 106.42 Pd.upf
Au 196.97 Au.upf
CELL_PARAMETERS angstrom
4.400 0.000 0.000
0.000 4.400 0.000
0.000 0.000 3.977
ATOMIC_POSITIONS crystal
Hf 0.000 0.500 0.000
Hf 0.500 0.000 0.000
H 0.000 0.000 0.000
Pd 0.000 0.000 0.500
Au 0.500 0.500 0.500
```

DFT total energy (eV/atom): -6.79
Fermi-level density of states (states/eV/cell): 4.6